No. 1
Below is a crystal of ScTcTe relaxed with PBEsol, with properties calculated at the meta-GGA SCAN level.

Values from the calculation:
crystal system = cubic
energy relative to the elements, uncorrected = -0.0216 eV/atom
ρ = 7.20 Mg/m³
final energy = -28.87 eV/atom
DOS at the Fermi energy = 0.759 states/eV per atom
symmetry = No. 216

The structure in POSCAR format:
```
ScTcTe
1.0
4.453 0.000 0.000
2.226 3.856 0.000
2.226 1.285 3.636
Sc Tc Te
1 1 1
Direct
0.000 0.000 0.000 Sc
0.500 0.500 0.500 Tc
0.750 0.750 0.750 Te
```

No. 2
Below is a crystal of ScTc2Te relaxed with PBEsol, with properties calculated at the meta-GGA SCAN level.

Values from the calculation:
crystal system = tetragonal
energy relative to the elements, uncorrected = -0.0606 eV/atom
ρ = 9.19 Mg/m³
final energy = -30.46 eV/atom
DOS at the Fermi energy = 0.957 states/eV per atom
symmetry = No. 123

The structure in POSCAR format:
```
ScTc2Te
1.0
3.249 0.000 0.000
0.000 3.249 0.000
0.000 0.000 6.311
Sc Tc Te
1 2 1
Direct
0.500 0.500 0.500 Sc
0.000 0.000 0.762 Tc
0.000 0.000 0.238 Tc
0.500 0.500 0.000 Te
```